[1]
CaTl3Se2O6 (PBE, optimized geometry); formation energy (no corrections) = -1.1015 eV/atom; theoretical density = 5.919 Mg/m³; density of states at the Fermi level = 4.4 states/eV/cell; E_tot = -4.92 eV per atom
1.0
6.0312 0.0000 0.0000
-3.0156 5.2231 0.0000
0.0000 0.0000 8.0781
Ca Tl Se O
1 3 2 6
Direct
0.0000 0.0000 0.0000
0.0000 0.0000 0.5000
0.3333 0.6667 0.1881
0.6667 0.3333 0.8119
0.3333 0.6667 0.7375
0.6667 0.3333 0.2625
0.1833 0.3667 0.8296
0.1833 0.8167 0.8296
0.3667 0.1833 0.1704
0.6333 0.8167 0.8296
0.8167 0.1833 0.1704
0.8167 0.6333 0.1704

---

[2]
CaTlSeO4 (PBE, optimized geometry); formation energy (no corrections) = -1.2217 eV/atom; theoretical density = 5.708 Mg/m³; density of states at the Fermi level = 3.7 states/eV/cell; E_tot = -5.18 eV per atom
1.0
-3.1506 3.7200 4.8079
3.1506 -3.7200 4.8079
3.1506 3.7200 -4.8079
Ca Tl Se O
2 2 2 8
Direct
0.0000 0.0000 0.0000
0.5000 0.0000 0.5000
0.5000 0.0000 0.0000
0.5000 0.5000 0.5000
0.1108 0.3608 0.7500
0.8892 0.6392 0.2500
0.1860 0.7425 0.4435
0.2011 0.2575 0.9435
0.2271 0.2458 0.5187
0.2271 0.7084 0.9813
0.7729 0.2916 0.0187
0.7729 0.7542 0.4813
0.7989 0.7425 0.0565
0.8140 0.2575 0.5565

---

[3]
Ca3TlSe4O12 (PBE, optimized geometry); formation energy (no corrections) = -1.1768 eV/atom; theoretical density = 4.283 Mg/m³; density of states at the Fermi level = 10.8 states/eV/cell; E_tot = -5.27 eV per atom
1.0
5.6793 3.2790 2.8882
-5.6793 3.2790 2.8882
0.0000 -6.5579 2.8882
Ca Tl Se O
3 1 4 12
Direct
0.0000 0.5656 0.4344
0.4344 0.0000 0.5656
0.5656 0.4344 0.0000
0.0000 0.0000 0.0000
0.0850 0.5000 0.9150
0.5000 0.5000 0.5000
0.5000 0.9150 0.0850
0.9150 0.0850 0.5000
0.0054 0.2146 0.3301
0.0660 0.9340 0.5000
0.2146 0.3301 0.0054
0.3301 0.0054 0.2146
0.3411 0.6589 0.5000
0.5000 0.0660 0.9340
0.5000 0.3411 0.6589
0.6589 0.5000 0.3411
0.6699 0.7854 0.9946
0.7854 0.9946 0.6699
0.9340 0.5000 0.0660
0.9946 0.6699 0.7854

---

[4]
CaTmSe2O8 (PBE, optimized geometry); formation energy (no corrections) = -1.6183 eV/atom; theoretical density = 4.203 Mg/m³; density of states at the Fermi level = 3.2 states/eV/cell; E_tot = -6.04 eV per atom
1.0
5.7100 0.0000 0.0000
-2.8550 4.9450 0.0000
0.0000 0.0000 6.9249
Ca Tm Se O
1 1 2 8
Direct
0.0000 0.0000 0.0000
0.0000 0.0000 0.5000
0.3333 0.6667 0.7896
0.6667 0.3333 0.2104
0.1618 0.3237 0.7213
0.1618 0.8382 0.7213
0.3237 0.1618 0.2787
0.3333 0.6667 0.0282
0.6667 0.3333 0.9718
0.6763 0.8382 0.7213
0.8382 0.1618 0.2787
0.8382 0.6763 0.2787